DFT (PBE) results for Y2CrPtN after structural relaxation.

Structure (POSCAR):
```
Y2CrPtN
1.0
4.886 0.000 0.000
0.000 4.886 0.000
0.000 0.000 3.787
Y Cr Pt N
2 1 1 1
direct
0.000 0.500 0.000 Y
0.500 0.000 0.000 Y
0.000 0.000 0.500 Cr
0.500 0.500 0.500 Pt
0.000 0.000 0.000 N
```

Summary:
* uncorrected formation energy: -0.98 eV/atom
* calculated total energy: -0.614 Ry per atom
* N(E_F): 0.37 states/eV per atom
* total magnetization: 2.6 μB/cell
* SG: P4/mmm, No. 123

***

DFT (PBE) results for Zr2CrPtN after structural relaxation.

Structure (POSCAR):
```
Zr2CrPtN
1.0
4.530 0.000 0.000
0.000 4.530 0.000
0.000 0.000 3.746
Zr Cr Pt N
2 1 1 1
direct
0.000 0.500 0.000 Zr
0.500 0.000 0.000 Zr
0.000 0.000 0.500 Cr
0.500 0.500 0.500 Pt
0.000 0.000 0.000 N
```

Summary:
* uncorrected formation energy: -0.94 eV/atom
* calculated total energy: -0.673 Ry per atom
* N(E_F): 0.94 states/eV per atom
* total magnetization: 0.0 μB/cell
* SG: P4/mmm, No. 123

***

DFT (PBE) results for Pu2CrN4 after structural relaxation.

Structure (POSCAR):
```
Pu2CrN4
1.0
5.665 0.000 0.000
0.000 5.360 0.000
-2.153 0.000 6.239
Pu Cr N
4 2 8
direct
0.207 0.250 0.052 Pu
0.290 0.250 0.573 Pu
0.710 0.750 0.427 Pu
0.793 0.750 0.948 Pu
0.244 0.750 0.804 Cr
0.756 0.250 0.196 Cr
0.032 0.501 0.752 N
0.032 0.999 0.752 N
0.432 0.750 0.075 N
0.442 0.750 0.639 N
0.558 0.250 0.361 N
0.568 0.250 0.925 N
0.968 0.001 0.248 N
0.968 0.499 0.248 N
```

Summary:
* uncorrected formation energy: -0.89 eV/atom
* calculated total energy: -0.817 Ry per atom
* N(E_F): 1.63 states/eV per atom
* total magnetization: 20.0 μB/cell
* SG: P2_1/m, No. 11

***

DFT (PBE) results for Pu3Cr5N12 after structural relaxation.

Structure (POSCAR):
```
Pu3Cr5N12
1.0
-6.119 6.119 6.119
6.119 -6.119 6.119
6.119 6.119 -6.119
Pu Cr N
12 20 48
direct
0.125 0.250 0.375 Pu
0.125 0.375 0.750 Pu
0.250 0.375 0.125 Pu
0.250 0.875 0.625 Pu
0.375 0.125 0.250 Pu
0.375 0.750 0.125 Pu
0.625 0.250 0.875 Pu
0.625 0.875 0.750 Pu
0.750 0.125 0.375 Pu
0.750 0.625 0.875 Pu
0.875 0.625 0.250 Pu
0.875 0.750 0.625 Pu
0.000 0.000 0.000 Cr
0.000 0.000 0.500 Cr
0.000 0.500 0.000 Cr
0.000 0.500 0.500 Cr
0.125 0.750 0.875 Cr
0.125 0.875 0.250 Cr
0.250 0.125 0.875 Cr
0.250 0.625 0.375 Cr
0.375 0.250 0.625 Cr
0.375 0.625 0.750 Cr
0.500 0.000 0.000 Cr
0.500 0.000 0.500 Cr
0.500 0.500 0.000 Cr
0.500 0.500 0.500 Cr
0.625 0.375 0.250 Cr
0.625 0.750 0.375 Cr
0.750 0.375 0.625 Cr
0.750 0.875 0.125 Cr
0.875 0.125 0.750 Cr
0.875 0.250 0.125 Cr
0.021 0.205 0.122 N
0.021 0.316 0.898 N
0.083 0.705 0.684 N
0.083 0.878 0.398 N
0.102 0.622 0.417 N
0.102 0.979 0.684 N
0.122 0.021 0.205 N
0.122 0.602 0.917 N
0.184 0.205 0.583 N
0.184 0.479 0.602 N
0.205 0.122 0.021 N
0.205 0.583 0.184 N
0.295 0.316 0.917 N
0.295 0.479 0.378 N
0.316 0.898 0.021 N
0.316 0.917 0.295 N
0.378 0.295 0.479 N
0.378 0.583 0.898 N
0.398 0.083 0.878 N
0.398 0.816 0.521 N
0.417 0.102 0.622 N
0.417 0.816 0.795 N
0.479 0.378 0.295 N
0.479 0.602 0.184 N
0.521 0.398 0.816 N
0.521 0.622 0.705 N
0.583 0.184 0.205 N
0.583 0.898 0.378 N
0.602 0.184 0.479 N
0.602 0.917 0.122 N
0.622 0.417 0.102 N
0.622 0.705 0.521 N
0.684 0.083 0.705 N
0.684 0.102 0.979 N
0.705 0.521 0.622 N
0.705 0.684 0.083 N
0.795 0.417 0.816 N
0.795 0.878 0.979 N
0.816 0.521 0.398 N
0.816 0.795 0.417 N
0.878 0.398 0.083 N
0.878 0.979 0.795 N
0.898 0.021 0.316 N
0.898 0.378 0.583 N
0.917 0.122 0.602 N
0.917 0.295 0.316 N
0.979 0.684 0.102 N
0.979 0.795 0.878 N
```

Summary:
* uncorrected formation energy: -0.66 eV/atom
* calculated total energy: -0.750 Ry per atom
* N(E_F): 1.20 states/eV per atom
* total magnetization: 72.0 μB/cell
* SG: Ia-3d, No. 230

***

DFT (PBE) results for Pu3CrN6 after structural relaxation.

Structure (POSCAR):
```
Pu3CrN6
1.0
4.446 -5.620 0.000
4.446 5.620 0.000
0.000 0.000 5.338
Pu Cr N
6 2 12
direct
0.105 0.895 0.500 Pu
0.195 0.411 0.473 Pu
0.411 0.195 0.973 Pu
0.589 0.805 0.473 Pu
0.805 0.589 0.973 Pu
0.895 0.105 0.000 Pu
0.304 0.696 0.922 Cr
0.696 0.304 0.422 Cr
0.086 0.612 0.759 N
0.147 0.170 0.732 N
0.170 0.147 0.232 N
0.290 0.710 0.259 N
0.388 0.914 0.759 N
0.447 0.553 0.793 N
0.553 0.447 0.293 N
0.612 0.086 0.259 N
0.710 0.290 0.759 N
0.830 0.853 0.732 N
0.853 0.830 0.232 N
0.914 0.388 0.259 N
```

Summary:
* uncorrected formation energy: -1.02 eV/atom
* calculated total energy: -0.829 Ry per atom
* N(E_F): 1.63 states/eV per atom
* total magnetization: 24.0 μB/cell
* SG: Cmc2_1, No. 36

***

DFT (PBE) results for Pu4CrN5 after structural relaxation.

Structure (POSCAR):
```
Pu4CrN5
1.0
1.697 0.980 13.410
-1.697 0.980 13.410
0.000 -1.959 13.410
Pu Cr N
4 1 5
direct
0.108 0.108 0.108 Pu
0.297 0.297 0.297 Pu
0.703 0.703 0.703 Pu
0.892 0.892 0.892 Pu
0.500 0.500 0.500 Cr
0.000 0.000 0.000 N
0.192 0.192 0.192 N
0.405 0.405 0.405 N
0.595 0.595 0.595 N
0.808 0.808 0.808 N
```

Summary:
* uncorrected formation energy: -1.05 eV/atom
* calculated total energy: -0.875 Ry per atom
* N(E_F): 1.86 states/eV per atom
* total magnetization: 2.5 μB/cell
* SG: R-3m, No. 166

***

DFT (PBE) results for RbPuCrN3 after structural relaxation.

Structure (POSCAR):
```
RbPuCrN3
1.0
6.591 -1.860 0.000
6.591 1.860 0.000
-1.958 0.000 7.752
Rb Pu Cr N
2 2 2 6
direct
0.140 0.140 0.063 Rb
0.860 0.860 0.937 Rb
0.154 0.154 0.569 Pu
0.846 0.846 0.431 Pu
0.497 0.497 0.674 Cr
0.503 0.503 0.326 Cr
0.010 0.010 0.323 N
0.331 0.331 0.597 N
0.359 0.359 0.262 N
0.641 0.641 0.738 N
0.669 0.669 0.403 N
0.990 0.990 0.677 N
```

Summary:
* uncorrected formation energy: -0.55 eV/atom
* calculated total energy: -0.652 Ry per atom
* N(E_F): 1.11 states/eV per atom
* total magnetization: 9.6 μB/cell
* SG: C2/m, No. 12

***

DFT (PBE) results for Pu2CrReN5 after structural relaxation.

Structure (POSCAR):
```
Pu2CrReN5
1.0
1.601 -6.357 0.000
1.601 6.357 0.000
0.000 0.000 10.113
Pu Cr Re N
4 2 2 10
direct
0.104 0.896 0.500 Pu
0.151 0.849 0.127 Pu
0.849 0.151 0.627 Pu
0.896 0.104 0.000 Pu
0.213 0.787 0.842 Cr
0.787 0.213 0.342 Cr
0.465 0.535 0.276 Re
0.535 0.465 0.776 Re
0.061 0.939 0.891 N
0.277 0.723 0.473 N
0.318 0.682 0.199 N
0.369 0.631 0.817 N
0.487 0.513 0.596 N
0.513 0.487 0.096 N
0.631 0.369 0.317 N
0.682 0.318 0.699 N
0.723 0.277 0.973 N
0.939 0.061 0.391 N
```

Summary:
* uncorrected formation energy: -0.69 eV/atom
* calculated total energy: -0.805 Ry per atom
* N(E_F): 1.48 states/eV per atom
* total magnetization: 2.0 μB/cell
* SG: Cmc2_1, No. 36

***

DFT (PBE) results for Pu2Cr2Si2N after structural relaxation.

Structure (POSCAR):
```
Pu2Cr2Si2N
1.0
5.536 -1.655 0.000
5.536 1.655 0.000
-1.492 0.000 5.369
Pu Cr Si N
2 2 2 1
direct
0.003 0.003 0.296 Pu
0.997 0.997 0.704 Pu
0.315 0.315 0.910 Cr
0.685 0.685 0.090 Cr
0.300 0.300 0.381 Si
0.700 0.700 0.619 Si
0.500 0.500 0.000 N
```

Summary:
* uncorrected formation energy: -0.35 eV/atom
* calculated total energy: -0.730 Ry per atom
* N(E_F): 1.54 states/eV per atom
* total magnetization: 3.0 μB/cell
* SG: C2/m, No. 12

***

DFT (PBE) results for SmPu2CrN4 after structural relaxation.

Structure (POSCAR):
```
SmPu2CrN4
1.0
1.687 -5.740 0.000
1.687 5.740 0.000
0.000 0.000 11.529
Sm Pu Cr N
2 4 2 8
direct
0.107 0.893 0.750 Sm
0.893 0.107 0.250 Sm
0.367 0.633 0.548 Pu
0.367 0.633 0.952 Pu
0.633 0.367 0.048 Pu
0.633 0.367 0.452 Pu
0.156 0.844 0.250 Cr
0.844 0.156 0.750 Cr
0.000 0.000 0.000 N
0.000 0.000 0.500 N
0.266 0.734 0.126 N
0.266 0.734 0.374 N
0.439 0.561 0.750 N
0.561 0.439 0.250 N
0.734 0.266 0.626 N
0.734 0.266 0.874 N
```

Summary:
* uncorrected formation energy: -1.06 eV/atom
* calculated total energy: -0.779 Ry per atom
* N(E_F): 1.37 states/eV per atom
* total magnetization: 15.2 μB/cell
* SG: Cmcm, No. 63

***

DFT (PBE) results for SmPuCrN3 after structural relaxation.

Structure (POSCAR):
```
SmPuCrN3
1.0
7.210 0.000 0.000
0.000 3.421 0.000
-0.858 0.000 7.350
Sm Pu Cr N
2 2 2 6
direct
0.163 0.250 0.173 Sm
0.837 0.750 0.827 Sm
0.365 0.750 0.825 Pu
0.635 0.250 0.175 Pu
0.086 0.250 0.593 Cr
0.914 0.750 0.407 Cr
0.120 0.250 0.846 N
0.166 0.750 0.512 N
0.407 0.750 0.133 N
0.593 0.250 0.867 N
0.834 0.250 0.488 N
0.880 0.750 0.154 N
```

Summary:
* uncorrected formation energy: -0.98 eV/atom
* calculated total energy: -0.730 Ry per atom
* N(E_F): 1.40 states/eV per atom
* total magnetization: 10.0 μB/cell
* SG: P2_1/m, No. 11

***

DFT (PBE) results for Sm2PuCrN5 after structural relaxation.

Structure (POSCAR):
```
Sm2PuCrN5
1.0
1.708 -6.876 0.000
1.708 6.876 0.000
0.000 0.000 10.286
Sm Pu Cr N
4 2 2 10
direct
0.109 0.891 0.500 Sm
0.136 0.864 0.108 Sm
0.864 0.136 0.608 Sm
0.891 0.109 0.000 Sm
0.207 0.793 0.815 Pu
0.793 0.207 0.315 Pu
0.491 0.509 0.270 Cr
0.509 0.491 0.770 Cr
0.041 0.959 0.838 N
0.285 0.715 0.455 N
0.313 0.687 0.182 N
0.374 0.626 0.812 N
0.492 0.508 0.597 N
0.508 0.492 0.097 N
0.626 0.374 0.312 N
0.687 0.313 0.682 N
0.715 0.285 0.955 N
0.959 0.041 0.338 N
```

Summary:
* uncorrected formation energy: -1.08 eV/atom
* calculated total energy: -0.692 Ry per atom
* N(E_F): 0.70 states/eV per atom
* total magnetization: 10.0 μB/cell
* SG: Cmc2_1, No. 36